# TeSeI2N (GGA-PBE, optimized geometry)
data_TeSeI2N
_chemical_formula_sum 'Te1 Se1 I2 N1'
_space_group_name_H-M_alt 'P 4/m m m'
_space_group_IT_number 123
_space_group_name_Hall '-P 4 2'
_cell_length_a 4.829
_cell_length_b 4.829
_cell_length_c 5.230
_cell_angle_alpha 90.00
_cell_angle_beta 90.00
_cell_angle_gamma 90.00
loop_
_atom_site_label
_atom_site_type_symbol
_atom_site_fract_x
_atom_site_fract_y
_atom_site_fract_z
Te1 Te 0.000 0.000 0.000
Se1 Se 0.500 0.500 0.000
I1 I 0.000 0.500 0.500
N1 N 0.000 0.000 0.500
# calculated volume = 122.0 Å³/cell
# energy above the lowest structure with this stoichiometry = 0.87 eV per formula unit
# formation energy without anion corrections = 1073 meV/atom